Record 1
## Hf3AsS (PBE-GGA)

Data for Hf3AsS after structural relaxation.

Structure (CIF):
```
data_Hf3AsS
_chemical_formula_sum 'Hf3 As1 S1'
_space_group_name_H-M_alt 'P 1'
_space_group_IT_number 1
_cell_length_a 4.734
_cell_length_b 4.734
_cell_length_c 4.734
_cell_angle_alpha 90.00
_cell_angle_beta 90.00
_cell_angle_gamma 90.00
loop_
_space_group_symop_operation_xyz
'x,y,z'
loop_
_atom_site_label
_atom_site_type_symbol
_atom_site_fract_x
_atom_site_fract_y
_atom_site_fract_z
_atom_site_occupancy
Hf1 Hf 0.000 0.000 0.500 1
Hf2 Hf 0.000 0.500 0.000 1
Hf3 Hf 0.500 0.000 0.000 1
As1 As 0.500 0.500 0.500 1
S1 S 0.000 0.000 0.000 1
```

Results
DOS(E_F) (states/eV/f.u.): 2.329
V (Å³ per cell): 106.1
Formation energy (no corrections) (eV/atom): -0.15
E_tot (Ry per atom): -0.57931
Excess energy over the best structure of this formula in the dataset (eV per atom): 0.611

---

Record 2
## Be2CuAgSb (PBE-GGA)

Data for Be2CuAgSb after structural relaxation.

Structure (CIF):
```
data_Be2CuAgSb
_chemical_formula_sum 'Be2 Cu1 Ag1 Sb1'
_space_group_name_H-M_alt 'P 1'
_space_group_IT_number 1
_cell_length_a 4.610
_cell_length_b 4.610
_cell_length_c 4.927
_cell_angle_alpha 90.00
_cell_angle_beta 90.00
_cell_angle_gamma 90.00
loop_
_space_group_symop_operation_xyz
'x,y,z'
loop_
_atom_site_label
_atom_site_type_symbol
_atom_site_fract_x
_atom_site_fract_y
_atom_site_fract_z
_atom_site_occupancy
Be1 Be 0.000 0.500 0.000 1
Be2 Be 0.500 0.000 0.000 1
Cu1 Cu 0.000 0.000 0.500 1
Ag1 Ag 0.500 0.500 0.500 1
Sb1 Sb 0.000 0.000 0.000 1
```

Results
DOS(E_F) (states/eV/f.u.): 4.461
V (Å³ per cell): 104.7
Formation energy (no corrections) (eV/atom): 1.09
E_tot (Ry per atom): -0.19201

---

Record 3
## Cu2SiAu (PBE-GGA)

Data for Cu2SiAu after structural relaxation.

Structure (CIF):
```
data_Cu2SiAu
_chemical_formula_sum 'Cu2 Si1 Au1'
_space_group_name_H-M_alt 'P 1'
_space_group_IT_number 1
_cell_length_a 2.889
_cell_length_b 3.579
_cell_length_c 5.401
_cell_angle_alpha 90.00
_cell_angle_beta 90.76
_cell_angle_gamma 90.00
loop_
_space_group_symop_operation_xyz
'x,y,z'
loop_
_atom_site_label
_atom_site_type_symbol
_atom_site_fract_x
_atom_site_fract_y
_atom_site_fract_z
_atom_site_occupancy
Cu1 Cu 0.006 0.000 0.272 1
Cu2 Cu 0.994 0.000 0.728 1
Si1 Si 0.500 0.500 0.500 1
Au1 Au 0.500 0.500 0.000 1
```

Results
DOS(E_F) (states/eV/f.u.): 1.237
V (Å³ per cell): 55.9
Formation energy (no corrections) (eV/atom): 0.02
E_tot (Ry per atom): -0.30927

---

Record 4
## BaDyCu2Te4 (PBE-GGA)

Data for BaDyCu2Te4 after structural relaxation.

Structure (CIF):
```
data_BaDyCu2Te4
_chemical_formula_sum 'Ba2 Dy2 Cu4 Te8'
_space_group_name_H-M_alt 'P 1'
_space_group_IT_number 1
_cell_length_a 7.033
_cell_length_b 8.262
_cell_length_c 8.946
_cell_angle_alpha 90.00
_cell_angle_beta 90.00
_cell_angle_gamma 90.00
loop_
_space_group_symop_operation_xyz
'x,y,z'
loop_
_atom_site_label
_atom_site_type_symbol
_atom_site_fract_x
_atom_site_fract_y
_atom_site_fract_z
_atom_site_occupancy
Ba1 Ba 0.000 0.000 0.000 1
Ba2 Ba 0.500 0.500 0.500 1
Dy1 Dy 0.000 0.000 0.500 1
Dy2 Dy 0.500 0.500 0.000 1
Cu1 Cu 0.000 0.500 0.143 1
Cu2 Cu 0.000 0.500 0.857 1
Cu3 Cu 0.500 0.000 0.357 1
Cu4 Cu 0.500 0.000 0.643 1
Te1 Te 0.239 0.206 0.302 1
Te2 Te 0.239 0.794 0.698 1
Te3 Te 0.261 0.294 0.802 1
Te4 Te 0.261 0.706 0.198 1
Te5 Te 0.739 0.294 0.198 1
Te6 Te 0.739 0.706 0.802 1
Te7 Te 0.761 0.206 0.698 1
Te8 Te 0.761 0.794 0.302 1
```

Results
DOS(E_F) (states/eV/f.u.): 6.024
V (Å³ per cell): 519.9
Formation energy (no corrections) (eV/atom): -0.71
E_tot (Ry per atom): -0.30278

---

Record 5
## CeGa8Rh2 (PBE-GGA)

Data for CeGa8Rh2 after structural relaxation.

Structure (CIF):
```
data_CeGa8Rh2
_chemical_formula_sum 'Ce1 Ga8 Rh2'
_space_group_name_H-M_alt 'P 1'
_space_group_IT_number 1
_cell_length_a 5.725
_cell_length_b 5.725
_cell_length_c 7.798
_cell_angle_alpha 90.00
_cell_angle_beta 90.00
_cell_angle_gamma 90.00
loop_
_space_group_symop_operation_xyz
'x,y,z'
loop_
_atom_site_label
_atom_site_type_symbol
_atom_site_fract_x
_atom_site_fract_y
_atom_site_fract_z
_atom_site_occupancy
Ce1 Ce 0.000 0.000 0.000 1
Ga1 Ga 0.254 0.254 0.300 1
Ga2 Ga 0.254 0.254 0.700 1
Ga3 Ga 0.254 0.746 0.300 1
Ga4 Ga 0.254 0.746 0.700 1
Ga5 Ga 0.746 0.254 0.300 1
Ga6 Ga 0.746 0.254 0.700 1
Ga7 Ga 0.746 0.746 0.300 1
Ga8 Ga 0.746 0.746 0.700 1
Rh1 Rh 0.000 0.500 0.500 1
Rh2 Rh 0.500 0.000 0.500 1
```

Results
DOS(E_F) (states/eV/f.u.): 11.877
V (Å³ per cell): 255.6
E_tot (Ry per atom): -0.30645
Energy of formation (meV per atom): -92

---

Record 6
## CaLa2Cd (PBE-GGA)

Data for CaLa2Cd after structural relaxation.

Structure (CIF):
```
data_CaLa2Cd
_chemical_formula_sum 'Ca3 La6 Cd3'
_space_group_name_H-M_alt 'P 1'
_space_group_IT_number 1
_cell_length_a 3.775
_cell_length_b 3.775
_cell_length_c 34.743
_cell_angle_alpha 90.00
_cell_angle_beta 90.00
_cell_angle_gamma 120.00
loop_
_space_group_symop_operation_xyz
'x,y,z'
loop_
_atom_site_label
_atom_site_type_symbol
_atom_site_fract_x
_atom_site_fract_y
_atom_site_fract_z
_atom_site_occupancy
Ca1 Ca 0.000 0.000 0.000 1
Ca2 Ca 0.333 0.667 0.667 1
Ca3 Ca 0.667 0.333 0.333 1
La1 La 0.000 0.000 0.241 1
La2 La 0.000 0.000 0.759 1
La3 La 0.333 0.667 0.426 1
La4 La 0.333 0.667 0.908 1
La5 La 0.667 0.333 0.092 1
La6 La 0.667 0.333 0.574 1
Cd1 Cd 0.000 0.000 0.500 1
Cd2 Cd 0.333 0.667 0.167 1
Cd3 Cd 0.667 0.333 0.833 1
```

Results
DOS(E_F) (states/eV/f.u.): 5.171
V (Å³ per cell): 428.7
E_tot (Ry per atom): -0.23689
Energy of formation (meV per atom): -30

---

Record 7
## LiTl2As (PBE-GGA)

Data for LiTl2As after structural relaxation.

Structure (CIF):
```
data_LiTl2As
_chemical_formula_sum 'Li1 Tl2 As1'
_space_group_name_H-M_alt 'P 1'
_space_group_IT_number 1
_cell_length_a 3.475
_cell_length_b 5.228
_cell_length_c 5.521
_cell_angle_alpha 90.00
_cell_angle_beta 95.24
_cell_angle_gamma 90.00
loop_
_space_group_symop_operation_xyz
'x,y,z'
loop_
_atom_site_label
_atom_site_type_symbol
_atom_site_fract_x
_atom_site_fract_y
_atom_site_fract_z
_atom_site_occupancy
Li1 Li 0.000 0.000 0.000 1
Tl1 Tl 0.248 0.500 0.748 1
Tl2 Tl 0.752 0.500 0.252 1
As1 As 0.500 0.000 0.500 1
```

Results
DOS(E_F) (states/eV/f.u.): 1.595
V (Å³ per cell): 99.9
E_tot (Ry per atom): -0.20879
Energy of formation (meV per atom): -17
Excess energy over the best structure of this formula in the dataset (eV per atom): 0.216

---

Record 8
## Th2CdAg5 (PBE-GGA)

Data for Th2CdAg5 after structural relaxation.

Structure (CIF):
```
data_Th2CdAg5
_chemical_formula_sum 'Th4 Cd2 Ag10'
_space_group_name_H-M_alt 'P 1'
_space_group_IT_number 1
_cell_length_a 7.109
_cell_length_b 7.109
_cell_length_c 7.357
_cell_angle_alpha 90.00
_cell_angle_beta 90.00
_cell_angle_gamma 90.00
loop_
_space_group_symop_operation_xyz
'x,y,z'
loop_
_atom_site_label
_atom_site_type_symbol
_atom_site_fract_x
_atom_site_fract_y
_atom_site_fract_z
_atom_site_occupancy
Th1 Th 0.000 0.500 0.000 1
Th2 Th 0.000 0.500 0.500 1
Th3 Th 0.500 0.000 0.000 1
Th4 Th 0.500 0.000 0.500 1
Cd1 Cd 0.000 0.000 0.433 1
Cd2 Cd 0.500 0.500 0.933 1
Ag1 Ag 0.000 0.000 0.052 1
Ag2 Ag 0.203 0.203 0.750 1
Ag3 Ag 0.203 0.797 0.750 1
Ag4 Ag 0.297 0.297 0.250 1
Ag5 Ag 0.297 0.703 0.250 1
Ag6 Ag 0.500 0.500 0.552 1
Ag7 Ag 0.703 0.297 0.250 1
Ag8 Ag 0.703 0.703 0.250 1
Ag9 Ag 0.797 0.203 0.750 1
Ag10 Ag 0.797 0.797 0.750 1
```

Results
DOS(E_F) (states/eV/f.u.): 6.086
V (Å³ per cell): 371.8
E_tot (Ry per atom): -0.27239
Energy of formation (meV per atom): 45